# 1
Pm2ScMoN5 (PBE, optimized geometry); final energy = -8.739 eV per atom; space-group type = No. 36
1.0
-2.9350 -0.1017 1.6913
2.7099 -6.5276 0.9149
4.9361 3.2773 8.7626
Pm Sc Mo N
4 2 2 10
Cartesian
3.2502 -2.1082 8.9087
3.8031 0.7348 6.6438
1.7502 -1.0516 2.9740
0.5091 -4.3515 4.0172
1.7219 -2.1677 6.2530
0.5425 -2.8087 0.7726
3.3260 3.0225 9.3486
3.5312 -4.9495 5.8302
0.9987 -4.9225 1.4371
3.2954 0.2748 9.1303
5.1539 -3.9102 8.7085
3.9145 -1.6332 6.6947
2.3214 -4.2127 7.1704
1.3669 0.0133 5.7680
2.5852 -2.8503 4.3147
-0.0002 0.8522 3.4463
-0.1991 -2.3798 2.9067
0.3221 -0.5120 0.5281


# 2
Pm2SmMoN4 (PBE, optimized geometry); final energy = -8.289 eV per atom; D(E_F) = 4.95 states/eV/cell; space-group type = No. 63
1.0
-1.0261 2.9790 1.4686
-4.0898 -1.2024 -4.5327
-6.9003 -6.2655 7.8881
Pm Sm Mo N
4 2 2 8
Cartesian
-7.1196 -3.1704 1.4565
-1.9957 1.3155 0.0514
-4.8965 -1.3185 3.3676
-10.0205 -5.8044 4.7727
-6.0671 -4.6435 5.1801
-5.9491 0.1546 -0.3560
-8.7878 -3.0163 4.0926
-3.2283 -1.4726 0.7315
-3.3677 -0.6666 -1.0009
-7.0051 -2.3302 3.9463
-8.6485 -3.8223 5.8250
-5.0111 -2.1588 0.8777
-3.4501 -3.1328 3.9441
0.0000 0.0000 0.0000
-9.2342 -4.4460 2.5665
-2.7819 -0.0430 2.2576


# 3
SrPm2MoN4 (PBE, optimized geometry); final energy = -7.876 eV per atom; D(E_F) = 7.58 states/eV/cell; space-group type = No. 63
1.0
-0.7593 3.2475 1.1688
2.1377 -3.2674 5.1245
11.5765 3.6151 -2.5242
Sr Pm Mo N
2 4 2 8
Cartesian
8.9777 2.4352 -0.9340
3.9772 1.1600 4.7031
7.5357 0.7279 2.8729
0.5195 1.3372 1.9645
5.4192 2.8673 0.8962
12.4355 2.2580 1.8045
9.4378 3.2739 2.3770
3.5172 0.3213 1.3921
2.3461 -0.4141 2.6746
7.6739 3.0927 1.7345
10.6089 4.0093 1.0945
5.2810 0.5024 2.0346
5.7882 1.8075 -1.2621
0.0000 0.0000 0.0000
10.1235 1.3640 2.7864
2.8315 2.2312 0.9826


# 4
Sr2PmMoN4 (PBE, optimized geometry); final energy = -7.430 eV per atom; D(E_F) = 4.63 states/eV/cell; space-group type = No. 31
1.0
-4.6627 3.0694 0.0068
-2.1414 -3.2660 5.9165
3.5605 5.3994 4.2691
Sr Pm Mo N
4 2 2 8
Cartesian
-2.0115 1.6529 3.0821
-0.2202 4.3694 5.2299
-3.2430 4.8496 7.1000
-5.0122 2.1666 4.9787
-3.0884 5.2010 3.0316
-4.0342 -1.3163 5.0294
-2.3669 1.4866 7.1276
-0.3454 -0.5051 0.9269
-1.8885 0.5463 0.8841
-3.9427 2.4882 7.1750
-0.3217 3.6007 2.7480
-6.1326 -0.1560 5.3119
-0.9954 2.8063 7.2573
-4.1887 3.0418 2.5891
-2.1178 6.1822 5.0722
-2.4850 0.5474 5.4712


# 5
SrPmMoN3 (PBE, optimized geometry); final energy = -7.925 eV per atom; D(E_F) = 1.35 states/eV/cell; space-group type = No. 12
1.0
-2.7580 1.1909 -2.6483
-1.0142 -6.9058 0.9789
-3.7335 3.1756 5.3161
Sr Pm Mo N
2 2 2 6
Cartesian
-5.1564 -1.5439 4.6757
-2.3493 -0.9954 -1.0290
-4.2437 0.4731 1.6042
-3.2620 -3.0124 2.0425
-4.7966 -4.8025 -0.1923
-2.7091 2.2633 3.8390
-3.7602 -3.2314 -0.5651
-5.4446 -1.6359 1.9064
-2.4307 1.4265 0.1448
-2.0611 -0.9034 1.7403
-5.0750 -3.9658 3.5020
-3.7455 0.6921 4.2119


# 6
Pm2TaMoN5 (PBE, optimized geometry); final energy = -9.295 eV per atom; D(E_F) = 5.89 states/eV/cell; space-group type = No. 36
1.0
3.3426 0.0000 0.0000
-1.6713 6.7315 0.0000
0.0000 0.0000 10.4885
Pm Ta Mo N
4 2 2 10
Cartesian
1.6713 4.7825 8.3447
0.0000 1.4724 7.2360
0.0000 1.9490 3.1006
1.6713 5.2590 1.9920
1.6713 3.7782 5.3701
0.0000 2.9534 0.1261
1.6713 0.3772 10.0784
0.0000 6.3542 4.8339
0.0000 4.9245 0.0021
1.6713 2.4665 9.2614
0.0000 6.6081 8.2482
0.0000 3.7998 6.7672
1.6713 6.0776 5.7762
1.6713 1.8069 5.2462
0.0000 4.2651 4.0172
1.6713 0.1234 3.0040
1.6713 2.9316 1.5229
0.0000 0.6540 0.5321


# 7
Tb2PmMoN4 (PBE, optimized geometry); final energy = -8.385 eV per atom; D(E_F) = 4.68 states/eV/cell; space-group type = No. 63
1.0
3.4401 0.0000 0.0000
-1.7201 5.9058 0.0000
0.0000 0.0000 11.9017
Tb Pm Mo N
4 2 2 8
Cartesian
0.0000 4.3667 6.4193
1.7201 1.5392 0.4685
1.7201 1.5392 5.4824
0.0000 4.3667 11.4332
0.0000 1.1676 8.9263
1.7201 4.7383 2.9754
1.7201 4.0088 8.9263
0.0000 1.8970 2.9754
0.0000 3.1190 1.4864
1.7200 2.7868 7.4372
1.7200 2.7868 10.4153
0.0000 3.1190 4.4645
0.0000 0.0000 5.9508
0.0000 0.0000 0.0000
0.0000 5.2220 8.9263
1.7201 0.6838 2.9754


# 8
Pm2TcMoN5 (PBE, optimized geometry); final energy = -8.804 eV per atom; D(E_F) = 2.31 states/eV/cell; space-group type = No. 36
1.0
-2.0595 2.2234 -1.5319
-1.9511 0.0884 6.5153
6.7175 7.5380 1.9094
Pm Tc Mo N
4 2 2 10
Cartesian
2.1763 7.8755 4.7406
4.0549 5.5341 2.5807
1.0195 2.5229 2.2911
-2.0238 3.5573 4.1199
0.8066 5.6558 3.3605
-1.2457 0.6637 2.6380
5.3235 8.4548 1.3504
0.2942 4.6613 6.3697
-2.1800 0.9459 4.3037
3.8159 8.1695 2.9631
2.3837 7.0992 7.0991
2.5628 5.4221 4.4241
-0.0032 6.3548 5.4636
1.6176 5.2353 1.6598
0.6314 3.6333 4.4243
0.8178 3.3056 -0.0657
-1.4667 2.6202 2.0108
0.0533 0.5137 0.6740


# 9
PmTm2MoN4 (PBE, optimized geometry); final energy = -8.417 eV per atom; D(E_F) = 4.54 states/eV/cell; space-group type = No. 63
1.0
3.3962 0.0000 0.0000
-1.6981 5.8322 0.0000
0.0000 0.0000 11.6928
Pm Tm Mo N
2 4 2 8
Cartesian
0.0000 1.1861 8.7696
1.6981 4.6460 2.9232
0.0000 4.3173 6.2998
1.6981 1.5149 0.4533
1.6981 1.5149 5.3931
0.0000 4.3173 11.2395
1.6981 3.9876 8.7696
0.0000 1.8446 2.9232
0.0000 3.0555 1.4131
1.6981 2.7767 7.2595
1.6981 2.7767 10.2797
0.0000 3.0555 4.4333
0.0000 0.0000 5.8464
0.0000 0.0000 0.0000
0.0000 5.1888 8.7696
1.6981 0.6434 2.9232


# 10
Pm2MoWN5 (PBE, optimized geometry); final energy = -9.206 eV per atom; D(E_F) = 6.75 states/eV/cell; space-group type = No. 36
1.0
-1.3224 2.5337 1.7791
-5.3465 -3.9146 -1.5842
1.3883 -5.4613 8.8094
Pm Mo W N
4 2 2 10
Cartesian
-3.7430 -4.8942 7.3728
-0.3185 -4.3628 5.9763
-1.4242 -2.3938 2.3505
-5.1140 -1.8814 2.0633
-3.2697 -3.0118 5.0439
-2.6627 -1.2659 -0.1764
0.3605 -4.1300 9.3346
-5.0502 -5.0363 3.4185
-4.4806 -1.9992 -0.4833
-1.5563 -4.4673 8.3903
-4.7525 -6.8720 6.2541
-2.4720 -4.9651 5.2335
-5.3044 -4.1314 5.1260
-1.4829 -2.1564 5.1538
-3.3655 -3.7863 2.8906
-0.4263 -0.3705 3.3959
-3.1191 -0.6555 1.8002
-0.5261 -0.5471 0.3880


# 11
Pm2MoWN6 (PBE, optimized geometry); final energy = -9.178 eV per atom; D(E_F) = 0.68 states/eV/cell; space-group type = No. 99
1.0
4.7285 0.0000 0.0000
0.0000 5.4184 0.0000
0.0000 0.0000 5.4184
Pm Mo W N
2 1 1 6
Cartesian
0.1034 2.7092 0.0000
0.1034 0.0000 2.7092
2.7559 2.7092 2.7092
2.7695 0.0000 0.0000
3.3423 1.3532 1.3532
3.3423 1.3532 4.0652
0.9695 2.7092 2.7092
0.9553 0.0000 0.0000
3.3423 4.0652 4.0652
3.3423 4.0652 1.3532


# 12
PmY2MoN4 (PBE, optimized geometry); final energy = -8.850 eV per atom; D(E_F) = 4.63 states/eV/cell; space-group type = No. 63
1.0
-2.0190 1.5324 -2.3141
-1.0618 -6.0195 -0.5146
-8.6480 0.8333 8.0968
Pm Y Mo N
2 4 2 8
Cartesian
-6.9001 -0.4253 5.7384
-4.8287 -3.2285 -0.4703
-6.1950 -3.4358 3.1296
-1.8880 -0.5693 -1.2749
-5.5338 -0.2180 2.1385
-9.8408 -3.0845 6.5430
-8.9056 -2.1851 3.7775
-2.8232 -1.4687 1.4906
-2.1653 -2.6626 0.1260
-7.3888 -1.2008 3.1061
-9.5635 -0.9912 5.1421
-4.3400 -2.4530 2.1620
-4.3240 0.4166 4.0484
0.0000 0.0000 0.0000
-8.3208 -4.0284 4.5919
-3.4080 0.3746 0.6762


# 13
Pr2Mo3N8 (PBE, optimized geometry); final energy = -8.839 eV per atom; D(E_F) = 0.38 states/eV/cell; space-group type = No. 12
1.0
5.1487 0.0000 -0.0565
0.0000 6.4898 0.0000
-2.1117 -3.2449 5.5082
Pr Mo N
2 3 8
Cartesian
0.6441 0.0000 2.9431
2.3929 3.2449 2.5086
2.5743 0.0000 -0.0282
0.0000 1.8121 0.0000
0.0000 4.6777 0.0000
4.4488 3.2449 1.0479
-1.4118 0.0000 4.4038
4.2126 0.0000 1.0821
-1.1756 3.2449 4.3696
1.4539 1.8503 4.3304
1.4539 -1.8502 4.3304
1.5831 5.0952 1.1213
1.5831 1.3947 1.1213


# 14
Pr3MoN5 (PBE, optimized geometry); final energy = -8.481 eV per atom; D(E_F) = 0.17 states/eV/cell; space-group type = No. 140
1.0
-3.0245 -5.6290 2.5510
4.2490 -3.9564 -3.6924
3.2017 4.7521 5.0030
Pr Mo N
6 2 10
Cartesian
-1.2955 -4.5116 1.0734
2.5199 -5.0738 -2.2148
0.3877 -7.3110 -0.4006
0.8367 -2.2743 -0.7408
1.9069 -0.0203 2.2161
2.5192 -4.8130 1.6454
0.3947 -2.8348 3.4916
4.0314 -1.9985 0.3699
1.3257 -4.2967 4.1846
0.9542 -1.3887 4.5309
5.8800 -1.7527 0.2890
3.6734 -2.2601 2.1831
3.1004 -0.5366 -0.3230
3.4719 -3.4445 -0.6693
-1.4539 -3.0805 3.5726
0.7527 -2.5731 1.6785
0.6122 -4.7927 -0.5707
0.0000 0.0000 0.0000


# 15
PrMoN3 (PBE, optimized geometry); final energy = -8.948 eV per atom; D(E_F) = 0.00 states/eV/cell; space-group type = No. 15
1.0
-5.8060 0.5074 2.5183
-4.4844 -2.5986 -5.2944
-1.1614 -6.5942 3.1718
Pr Mo N
4 4 12
Cartesian
-5.6337 -2.8351 -3.8948
-5.8181 -5.8503 4.2906
-3.6554 -5.2139 1.1456
-7.7965 -3.4715 -0.7498
-8.0852 -6.5025 1.1537
-5.6715 -2.6485 2.0252
-3.3667 -2.1829 -0.7579
-5.7803 -6.0370 -1.6295
-8.4313 -8.2682 0.7220
-5.1739 -1.0650 2.8430
-3.0206 -0.4172 -0.3262
-6.2780 -7.6205 -2.4472
-7.7107 -6.3864 2.8932
-5.0016 -4.0204 2.9465
-3.7411 -2.2990 -2.4974
-6.4503 -4.6651 -2.5507
-6.6148 -5.7559 0.0736
-7.6296 -2.8087 1.8628
-4.8371 -2.9296 0.3222
-3.8223 -5.8767 -1.4671


# 16
Pr2MoN5 (PBE, optimized geometry); final energy = -7.903 eV per atom; D(E_F) = 8.94 states/eV/cell; space-group type = No. 63
1.0
-2.2340 -0.7643 3.3920
5.1004 -4.0656 -0.0747
6.0719 7.5129 5.6919
Pr Mo N
4 2 10
Cartesian
4.3452 -0.2945 5.3132
2.1247 -3.0419 3.2317
4.5932 2.9776 3.6960
6.8136 5.7250 5.7776
6.2495 2.1121 7.1097
2.6888 0.5709 1.8995
7.7805 2.1745 8.1321
6.2750 0.3118 6.7209
4.5820 0.5501 3.1417
2.8036 -1.6503 1.4746
1.7987 -0.0646 3.6879
7.1396 2.7476 5.3214
4.3563 2.1329 5.8675
6.1347 4.3334 7.5346
1.1579 0.5085 0.8772
2.6633 2.3712 2.2884


# 17
Pr2Mo2N7 (PBE, optimized geometry); final energy = -8.570 eV per atom; space-group type = No. 12
1.0
5.3483 0.0463 0.0668
-0.4989 6.3233 0.1718
-0.4989 -2.0597 5.9809
Pr Mo N
2 2 7
Cartesian
2.1753 0.4625 4.2826
2.1753 3.8474 1.9369
4.3961 0.9559 1.3794
-0.0455 3.3540 4.8401
0.9878 4.5729 3.9812
3.3627 2.1881 0.5398
3.3627 -0.2630 2.2383
0.9878 2.1218 5.6797
0.0000 0.0000 0.0000
4.2772 2.3924 3.4523
0.0733 1.9175 2.7672


# 18
Pr2MoN3 (PBE, optimized geometry); D(E_F) = 4.22 states/eV/cell; space-group type = No. 63; energy above the most stable polymorph in this dataset = 0.215 eV/atom
1.0
5.6752 -0.3096 -0.2205
0.3348 5.9329 0.2266
0.3348 2.1522 5.5334
Pr Mo N
4 2 6
Cartesian
4.4750 1.7913 2.5972
1.6374 3.1946 0.9549
4.7075 4.5810 4.5846
1.8698 5.9843 2.9423
4.5912 5.3358 0.5735
1.7536 2.4398 4.9660
1.7536 3.5208 3.4487
4.5912 4.2549 2.0908
6.2429 6.5457 4.6624
2.9396 1.0759 0.7657
3.4053 6.6997 4.7738
0.1019 1.2299 0.8771


Number 1: M_tot 0.00 μB/atom. Number 2: M_tot 0.00 μB/atom. Number 3: M_tot 0.11 μB/atom. Number 4: M_tot 0.12 μB/atom. Number 5: M_tot 0.00 μB/atom. Number 6: M_tot 0.00 μB/atom. Number 7: M_tot 0.00 μB/atom. Number 8: M_tot 0.00 μB/atom. Number 9: M_tot 0.00 μB/atom. Number 10: M_tot 0.00 μB/atom. Number 11: M_tot 0.00 μB/atom. Number 12: M_tot 0.00 μB/atom. Number 13: M_tot 0.00 μB/atom. Number 14: M_tot 0.00 μB/atom. Number 15: M_tot 0.00 μB/atom. Number 16: M_tot 0.38 μB/atom. Number 17: M_tot 0.09 μB/atom. Number 18: M_tot 0.00 μB/atom.